Material: Tb2ErCdO
Method: DFT, GGA-PBE
State: optimized geometry

## Properties
* space-group type: P4/mmm
* crystal system: tetragonal

Cell lengths 4.815, 4.815, 4.736 Å; angles 90.00, 90.00, 90.00 degrees
Fractional positions:
Tb: 0.000 0.500 0.000
Tb: 0.500 0.000 0.000
Er: 0.000 0.000 0.500
Cd: 0.500 0.500 0.500
O: 0.000 0.000 0.000

***

Material: ErCdTc2O8
Method: DFT, GGA-PBE
State: optimized geometry

## Properties
* space-group type: P-3m1
* crystal system: trigonal

Cell lengths 6.118, 6.118, 7.729 Å; angles 90.00, 90.00, 120.00 degrees
Fractional positions:
Er: 0.000 0.000 0.000
Cd: 0.000 0.000 0.500
Tc: 0.333 0.667 0.235
Tc: 0.667 0.333 0.765
O: 0.174 0.349 0.161
O: 0.174 0.826 0.161
O: 0.333 0.667 0.459
O: 0.349 0.174 0.839
O: 0.651 0.826 0.161
O: 0.667 0.333 0.541
O: 0.826 0.174 0.839
O: 0.826 0.651 0.839

***

In the order shown, the computed density of states at the Fermi level values come out to 2.594, 5.538 states/eV per cell.
In the order shown, the computed VASP energy values come out to -5.26, -7.18 eV/atom.